The following is a GGA+U calculation of a relaxed structure of Cs2TlWO4, from Alexandria.

Values from the calculation:
E_tot: -85.38 eV per cell
Theoretical density: 4.5 g cm⁻³
Total magnetization: 0.87 μB/f.u.

abc: 7.177 7.561 11.620
angles: 81.57 72.01 61.67
Site moments in Bohr magnetons follow the coordinates.
Element x y z (fractional)
W 0.500 0.000 0.000  0.00
W 0.250 0.500 0.500  0.00
O 0.227 0.337 0.410  0.01
O 0.313 0.163 0.910  0.01
O 0.387 0.837 0.090  0.01
O 0.523 0.163 0.090  0.01
O 0.776 0.837 0.910  0.01
O 0.974 0.663 0.590  0.01
O 0.437 0.337 0.590  0.01
O 0.363 0.663 0.410  0.01
Cs 0.807 0.000 0.386  0.02
Cs 0.943 0.500 0.114  0.02
Cs 0.557 0.500 0.886  0.02
Cs 0.193 0.000 0.614  0.02
Tl 0.750 0.500 0.500  0.13
Tl 0.000 0.000 0.000  0.13